(1)
VASP calculation (PBE-GGA) on crystalline Cr2AgTe at its relaxed geometry.

a = 6.6909 Å, b = 6.6909 Å, c = 6.6909 Å
α = 90.00°, β = 90.00°, γ = 90.00°
Fractional positions:
Cr (0.0000, 0.0000, 0.0000)
Cr (0.0000, 0.5000, 0.5000)
Cr (0.2500, 0.2500, 0.2500)
Cr (0.2500, 0.7500, 0.7500)
Cr (0.5000, 0.0000, 0.5000)
Cr (0.5000, 0.5000, 0.0000)
Cr (0.7500, 0.2500, 0.7500)
Cr (0.7500, 0.7500, 0.2500)
Ag (0.2500, 0.2500, 0.7500)
Ag (0.2500, 0.7500, 0.2500)
Ag (0.7500, 0.2500, 0.2500)
Ag (0.7500, 0.7500, 0.7500)
Te (0.0000, 0.0000, 0.5000)
Te (0.0000, 0.5000, 0.0000)
Te (0.5000, 0.0000, 0.0000)
Te (0.5000, 0.5000, 0.5000)

Computed properties:
* DOS(E_F): 7.38 states/eV/cell
* energy relative to the elements, uncorrected: 0.487 eV per atom

***

(2)
VASP calculation (PBE-GGA) on crystalline Cr2AgTe at its relaxed geometry.

a = 10.1476 Å, b = 3.7309 Å, c = 4.3428 Å
α = 90.00°, β = 95.11°, γ = 90.00°
Fractional positions:
Cr (0.0000, 0.0000, 0.0000)
Cr (0.2311, 0.0000, 0.5662)
Cr (0.5000, 0.5000, 0.0000)
Cr (0.7311, 0.5000, 0.5662)
Ag (0.0001, 0.5000, 0.5057)
Ag (0.5001, 0.0000, 0.5057)
Te (0.2304, 0.5000, 0.0651)
Te (0.7304, 0.0000, 0.0651)

Computed properties:
* DOS(E_F): 2.95 states/eV/cell
* energy relative to the elements, uncorrected: 0.487 eV per atom

***

(3)
VASP calculation (PBE-GGA) on crystalline CrAgTe3 at its relaxed geometry.

a = 5.1050 Å, b = 5.1050 Å, c = 5.1050 Å
α = 90.00°, β = 90.00°, γ = 90.00°
Fractional positions:
Cr (0.0000, 0.0000, 0.0000)
Ag (0.5000, 0.5000, 0.5000)
Te (0.0000, 0.0000, 0.5000)
Te (0.0000, 0.5000, 0.0000)
Te (0.5000, 0.0000, 0.0000)

Computed properties:
* DOS(E_F): 6.25 states/eV/cell
* energy relative to the elements, uncorrected: 0.540 eV per atom
* polymorph energy (0 for the lowest one): 600 meV/atom

***

(4)
VASP calculation (PBE-GGA) on crystalline Cr2AgTe at its relaxed geometry.

a = 4.0206 Å, b = 4.0206 Å, c = 18.5534 Å
α = 90.00°, β = 90.00°, γ = 120.00°
Fractional positions:
Cr (0.0000, 0.0000, 0.2466)
Cr (0.0000, 0.0000, 0.7534)
Cr (0.3333, 0.6667, 0.4201)
Cr (0.3333, 0.6667, 0.9132)
Cr (0.6667, 0.3333, 0.0868)
Cr (0.6667, 0.3333, 0.5799)
Ag (0.0000, 0.0000, 0.5000)
Ag (0.3333, 0.6667, 0.1667)
Ag (0.6667, 0.3333, 0.8333)
Te (0.0000, 0.0000, 0.0000)
Te (0.3333, 0.6667, 0.6667)
Te (0.6667, 0.3333, 0.3333)

Computed properties:
* DOS(E_F): 7.26 states/eV/cell
* energy relative to the elements, uncorrected: 0.514 eV per atom

***

(5)
VASP calculation (PBE-GGA) on crystalline Ti2CrAgTe at its relaxed geometry.

a = 4.5745 Å, b = 4.5745 Å, c = 4.8739 Å
α = 90.00°, β = 90.00°, γ = 90.00°
Fractional positions:
Ti (0.0000, 0.5000, 0.0000)
Ti (0.5000, 0.0000, 0.0000)
Cr (0.0000, 0.0000, 0.0000)
Ag (0.5000, 0.5000, 0.5000)
Te (0.0000, 0.0000, 0.5000)

Computed properties:
* DOS(E_F): 8.01 states/eV/cell
* energy relative to the elements, uncorrected: 0.552 eV per atom

***

(6)
VASP calculation (PBE-GGA) on crystalline Ti2CrAg2Te6 at its relaxed geometry.

a = 6.6817 Å, b = 6.6817 Å, c = 7.8658 Å
α = 93.69°, β = 93.69°, γ = 120.44°
Fractional positions:
Ti (0.1609, 0.8391, 0.0000)
Ti (0.8391, 0.1609, 0.0000)
Cr (0.5000, 0.5000, 0.0000)
Ag (0.3727, 0.6273, 0.5000)
Ag (0.6273, 0.3727, 0.5000)
Te (0.1410, 0.4731, 0.7896)
Te (0.2105, 0.2105, 0.2195)
Te (0.4731, 0.1410, 0.7896)
Te (0.5269, 0.8590, 0.2104)
Te (0.7895, 0.7895, 0.7805)
Te (0.8590, 0.5269, 0.2104)

Computed properties:
* DOS(E_F): 4.96 states/eV/cell
* energy relative to the elements, uncorrected: -0.345 eV per atom

***

(7)
VASP calculation (PBE-GGA) on crystalline Tl2Cr2AgTe6 at its relaxed geometry.

a = 7.1341 Å, b = 7.1341 Å, c = 8.0692 Å
α = 98.36°, β = 98.36°, γ = 121.01°
Fractional positions:
Tl (0.1581, 0.8419, 0.0000)
Tl (0.8419, 0.1581, 0.0000)
Cr (0.3273, 0.6727, 0.5000)
Cr (0.6727, 0.3273, 0.5000)
Ag (0.0000, 0.0000, 0.5000)
Te (0.0656, 0.4239, 0.6981)
Te (0.2899, 0.2899, 0.3183)
Te (0.4239, 0.0656, 0.6981)
Te (0.5761, 0.9344, 0.3019)
Te (0.7101, 0.7101, 0.6817)
Te (0.9344, 0.5761, 0.3019)

Computed properties:
* DOS(E_F): 7.44 states/eV/cell
* energy relative to the elements, uncorrected: -0.144 eV per atom

***

(8)
VASP calculation (PBE-GGA) on crystalline Tl3Cr2AgTe6 at its relaxed geometry.

a = 7.2900 Å, b = 7.2900 Å, c = 7.9032 Å
α = 98.64°, β = 98.64°, γ = 119.92°
Fractional positions:
Tl (0.0000, 0.0000, 0.0000)
Tl (0.3393, 0.6607, 0.0000)
Tl (0.6607, 0.3393, 0.0000)
Cr (0.1689, 0.8311, 0.5000)
Cr (0.8311, 0.1689, 0.5000)
Ag (0.5000, 0.5000, 0.5000)
Te (0.0787, 0.4341, 0.3044)
Te (0.2106, 0.2106, 0.6843)
Te (0.4341, 0.0787, 0.3044)
Te (0.5659, 0.9213, 0.6956)
Te (0.7894, 0.7894, 0.3157)
Te (0.9213, 0.5659, 0.6956)

Computed properties:
* DOS(E_F): 7.28 states/eV/cell
* energy relative to the elements, uncorrected: -0.185 eV per atom

***

- Among the records above, which one has the highest DOS(E_F)?
  Ti2CrAgTe